Entry from Alexandria: a geometry-optimized Tm3In3HgRh2 structure (GGA-PBE).

Summary:
D(E_F)   4.9 states/eV/cell
Crystal system   hexagonal
ΔH_f (0 K)   -613 meV per atom

Unit cell a=7.904 b=7.904 c=3.648 alpha=90.00 beta=90.00 gamma=120.00
Positions (direct):
Tm (0.000, 0.399, 0.000)
Tm (0.399, 0.000, 0.000)
Tm (0.601, 0.601, 0.000)
In (0.000, 0.712, 0.500)
In (0.288, 0.288, 0.500)
In (0.712, 0.000, 0.500)
Hg (0.000, 0.000, 0.000)
Rh (0.333, 0.667, 0.500)
Rh (0.667, 0.333, 0.500)